Entry 1:
Material: Cs2Sn3Te5
Method: DFT, PBE
State: optimized geometry

```
10
Lattice="8.998 -2.322 0.000 8.998 2.322 0.000 -5.966 0.000 10.506" Properties=species:S:1:pos:R:3 pbc="T T T"
Cs 1.779 0.000 2.578
Cs 10.252 0.000 7.928
Sn -2.983 0.000 5.253
Sn 6.880 0.000 2.012
Sn 5.151 0.000 8.494
Te -2.011 0.000 8.318
Te 3.902 0.000 5.924
Te 8.998 0.000 0.000
Te 8.129 0.000 4.582
Te 14.041 0.000 2.188
```

Calculated values
E_form (uncorrected)	-5.4	eV/f.u.
density of states at the Fermi level	0.2115	states/eV per atom
SG	No. 12

***

Entry 2:
Material: TbGdAg
Method: DFT, PBE
State: optimized geometry

```
3
Lattice="-1.820 1.820 6.194 1.820 -1.820 6.194 1.820 1.820 -6.194" Properties=species:S:1:pos:R:3 pbc="T T T"
Tb 0.000 0.000 0.000
Gd 0.000 0.000 8.683
Ag 0.000 0.000 4.397
```

Calculated values
density of states at the Fermi level	1.1039	states/eV per atom
DFT formation energy	-0.56	eV/f.u.
SG	No. 107
polymorph energy (0 for the lowest one)	0.00	kJ/mol of atoms

***

Entry 3:
Material: Mg2NbRuSe
Method: DFT, PBE
State: optimized geometry

```
5
Lattice="4.975 0.000 0.000 0.000 4.975 0.000 0.000 0.000 4.692" Properties=species:S:1:pos:R:3 pbc="T T T"
Mg 0.000 2.488 0.000
Mg 2.488 0.000 0.000
Nb 0.000 0.000 2.346
Ru 0.000 0.000 0.000
Se 2.488 2.488 2.346
```

Calculated values
E_form (uncorrected)	2.0	eV/f.u.
density of states at the Fermi level	0.7143	states/eV per atom
SG	No. 123
polymorph energy (0 for the lowest one)	0.00	kJ/mol of atoms